Model i:
A geometry-optimized Y6Th2Sc structure, computed with PBE.

```
Y6Th2Sc
1.0
7.6598 -4.2928 0.0000
7.6598 4.2928 0.0000
-7.4508 0.0000 8.7463
Y Th Sc
12 4 2
Direct
0.0460 0.7880 0.8428
0.1352 0.6286 0.2325
0.2120 0.9540 0.6572
0.3271 0.3863 0.9269
0.3714 0.8648 0.2675
0.3863 0.3271 0.4269
0.6137 0.6729 0.5731
0.6286 0.1352 0.7325
0.6729 0.6137 0.0731
0.7880 0.0460 0.3428
0.8648 0.3714 0.7675
0.9540 0.2120 0.1572
0.1078 0.2929 0.5362
0.2929 0.1078 0.0362
0.7071 0.8922 0.9638
0.8922 0.7071 0.4638
0.3983 0.6017 0.7500
0.6017 0.3983 0.2500
```

Calculated values
space group = C2/c (15)



Model ii:
A geometry-optimized Y6Th2Sc structure, computed with PBE.

```
Y6Th2Sc
1.0
3.5569 0.0000 0.0000
-1.7785 3.0804 0.0000
0.0000 0.0000 26.0875
Y Th Sc
6 2 1
Direct
0.0000 0.0000 0.0641
0.0000 0.0000 0.2867
0.0000 0.0000 0.7133
0.0000 0.0000 0.9359
0.3333 0.6667 0.3978
0.3333 0.6667 0.6022
0.3333 0.6667 0.1733
0.3333 0.6667 0.8267
0.0000 0.0000 0.5000
```

Calculated values
space group = P-6m2 (187)



It is model ii that is most stable; the runner-up trails by 0.102 eV/atom.



Model i:
A geometry-optimized Th2ScZn structure, computed with PBE.

```
Th2ScZn
1.0
3.7125 0.0000 0.0000
0.0000 3.7125 0.0000
0.0000 0.0000 7.8464
Th Sc Zn
2 1 1
Direct
0.0000 0.0000 0.2269
0.0000 0.0000 0.7731
0.5000 0.5000 0.5000
0.5000 0.5000 0.0000
```

Calculated values
space group = P4/mmm (123)



Model ii:
A geometry-optimized Th2ScZn structure, computed with PBE.

```
Th2ScZn
1.0
1.6819 0.9711 11.8950
-1.6819 0.9711 11.8950
0.0000 -1.9421 11.8950
Th Sc Zn
2 1 1
Direct
0.0876 0.0876 0.0876
0.9124 0.9124 0.9124
0.5000 0.5000 0.5000
0.0000 0.0000 0.0000
```

Calculated values
space group = R-3m (166)



Model iii:
A geometry-optimized Th2ScZn structure, computed with PBE.

```
Th2ScZn
1.0
0.0000 3.7611 3.7611
3.7611 0.0000 3.7611
3.7611 3.7611 0.0000
Th Sc Zn
2 1 1
Direct
0.2500 0.2500 0.2500
0.7500 0.7500 0.7500
0.0000 0.0000 0.0000
0.5000 0.5000 0.5000
```

Calculated values
space group = Fm-3m (225)



It is model i that is most stable; the runner-up trails by 0.081 eV/atom.



Model i:
A geometry-optimized ThZr2Sc3 structure, computed with PBE.

```
ThZr2Sc3
1.0
1.6603 -8.5821 0.0000
1.6603 8.5821 0.0000
0.0000 0.0000 10.6545
Th Zr Sc
2 4 6
Direct
0.2144 0.7856 0.7500
0.7856 0.2144 0.2500
0.0000 0.0000 0.0000
0.0000 0.0000 0.5000
0.4449 0.5551 0.2500
0.5551 0.4449 0.7500
0.1029 0.8971 0.2500
0.3389 0.6611 0.5089
0.3389 0.6611 0.9911
0.6611 0.3389 0.0089
0.6611 0.3389 0.4911
0.8971 0.1029 0.7500
```

Calculated values
space group = Cmcm (63)



Model ii:
A geometry-optimized ThZr2Sc3 structure, computed with PBE.

```
ThZr2Sc3
1.0
9.9338 -1.6791 0.0000
9.9338 1.6791 0.0000
-5.4743 0.0000 9.1113
Th Zr Sc
2 4 6
Direct
0.1035 0.1035 0.4834
0.8965 0.8965 0.5166
0.2256 0.2256 0.8584
0.4392 0.4392 0.2980
0.5608 0.5608 0.7020
0.7744 0.7744 0.1416
0.1133 0.1133 0.9909
0.2239 0.2239 0.3427
0.4446 0.4446 0.8219
0.5554 0.5554 0.1781
0.7761 0.7761 0.6573
0.8867 0.8867 0.0091
```

Calculated values
space group = C2/m (12)



It is model ii that is most stable; the runner-up trails by 0.029 eV/atom.



Model i:
A geometry-optimized Th2ZrSc5 structure, computed with PBE.

```
Th2ZrSc5
1.0
6.6525 0.0000 0.0000
0.0000 13.3001 0.0000
0.0000 0.0000 4.6968
Th Zr Sc
4 2 10
Direct
0.2439 0.1236 0.0000
0.2561 0.6236 0.0000
0.7439 0.3764 0.0000
0.7561 0.8764 0.0000
0.0000 0.0000 0.5000
0.5000 0.5000 0.5000
0.0000 0.5000 0.5000
0.0050 0.7519 0.5000
0.2477 0.3759 0.0000
0.2523 0.8759 0.0000
0.4950 0.2519 0.5000
0.5000 0.0000 0.5000
0.5050 0.7481 0.5000
0.7477 0.1241 0.0000
0.7523 0.6241 0.0000
0.9950 0.2481 0.5000
```

Calculated values
space group = Pbam (55)



Model ii:
A geometry-optimized Th2ZrSc5 structure, computed with PBE.

```
Th2ZrSc5
1.0
8.7680 0.0000 0.0000
1.3268 8.7175 0.0000
1.1948 3.8425 10.8712
Th Zr Sc
8 4 20
Direct
0.0336 0.1576 0.1223
0.1579 0.7814 0.6228
0.2248 0.0968 0.8678
0.3514 0.7188 0.3687
0.6486 0.2812 0.6313
0.7752 0.9032 0.1322
0.8421 0.2186 0.3772
0.9664 0.8424 0.8777
0.2827 0.4055 0.1253
0.4078 0.0293 0.6191
0.5922 0.9707 0.3809
0.7173 0.5945 0.8747
0.0334 0.1581 0.6233
0.0937 0.4711 0.8762
0.0972 0.4697 0.3693
0.1603 0.7750 0.1226
0.2264 0.0985 0.3724
0.2807 0.4083 0.6205
0.3497 0.7161 0.8736
0.4076 0.0384 0.1253
0.4651 0.3406 0.3721
0.4689 0.3521 0.8837
0.5311 0.6479 0.1163
0.5349 0.6594 0.6279
0.5924 0.9616 0.8747
0.6503 0.2839 0.1264
0.7193 0.5917 0.3795
0.7736 0.9015 0.6276
0.8397 0.2250 0.8774
0.9028 0.5303 0.6307
0.9063 0.5289 0.1238
0.9666 0.8419 0.3767
```

Calculated values
space group = P-1 (2)



It is model i that is most stable; the runner-up trails by 0.011 eV/atom.



Model i:
A geometry-optimized Th2ZrSc4 structure, computed with PBE.

```
Th2ZrSc4
1.0
2.9315 -1.6919 0.0000
2.9315 1.6919 0.0000
-1.9493 0.0000 18.6807
Th Zr Sc
2 1 4
Direct
0.0000 0.0000 0.0000
0.0982 0.0982 0.2980
0.1914 0.1914 0.5790
0.2824 0.2824 0.8506
0.3828 0.3828 0.1527
0.8138 0.8138 0.4451
0.9023 0.9023 0.7118
```

Calculated values
space group = Cm (8)



Model ii:
A geometry-optimized Th2ZrSc4 structure, computed with PBE.

```
Th2ZrSc4
1.0
2.6137 -4.5188 0.0000
2.6137 4.5188 0.0000
0.0000 0.0000 15.7693
Th Zr Sc
4 2 8
Direct
0.1664 0.8336 0.5602
0.1664 0.8336 0.9398
0.8336 0.1664 0.0602
0.8336 0.1664 0.4398
0.4986 0.5014 0.7500
0.5014 0.4986 0.2500
0.1650 0.8350 0.7500
0.1677 0.8323 0.1536
0.1677 0.8323 0.3464
0.5000 0.5000 0.0000
0.5000 0.5000 0.5000
0.8323 0.1677 0.6536
0.8323 0.1677 0.8464
0.8350 0.1650 0.2500
```

Calculated values
space group = Cmcm (63)



It is model i that is most stable; the runner-up trails by 0.172 eV/atom.



Model i:
A geometry-optimized Th2ZrSc3 structure, computed with PBE.

```
Th2ZrSc3
1.0
6.5631 0.0000 0.0000
0.0000 9.1958 0.0000
0.0000 0.0000 5.3169
Th Zr Sc
4 2 6
Direct
0.2474 0.1650 0.0000
0.2526 0.6650 0.5000
0.7474 0.3350 0.5000
0.7526 0.8350 0.0000
0.0000 0.0000 0.5000
0.5000 0.5000 0.0000
0.0000 0.5000 0.0000
0.2488 0.8326 0.0000
0.2512 0.3326 0.5000
0.5000 0.0000 0.5000
0.7488 0.6674 0.5000
0.7512 0.1674 0.0000
```

Calculated values
space group = Pnnm (58)



Model ii:
A geometry-optimized Th2ZrSc3 structure, computed with PBE.

```
Th2ZrSc3
1.0
2.3828 -7.0690 0.0000
2.3828 7.0690 0.0000
0.0000 0.0000 4.7253
Th Zr Sc
2 1 3
Direct
0.1635 0.8365 0.0000
0.8365 0.1635 0.0000
0.5000 0.5000 0.0000
0.0000 0.0000 0.5000
0.3368 0.6632 0.5000
0.6632 0.3368 0.5000
```

Calculated values
space group = Cmmm (65)



It is model ii that is most stable; the runner-up trails by 0.100 eV/atom.



Model i:
A geometry-optimized Th2ZrSc8 structure, computed with PBE.

```
Th2ZrSc8
1.0
7.7419 -3.0393 0.0000
7.7419 3.0393 0.0000
-1.2771 0.0000 6.1050
Th Zr Sc
2 1 8
Direct
0.2443 0.2443 0.3343
0.7557 0.7557 0.6657
0.0000 0.0000 0.0000
0.1806 0.6638 0.6017
0.1853 0.1853 0.8116
0.3362 0.8194 0.3983
0.4061 0.4061 0.0727
0.5939 0.5939 0.9273
0.6638 0.1806 0.6017
0.8147 0.8147 0.1884
0.8194 0.3362 0.3983
```

Calculated values
space group = C2/m (12)



Model ii:
A geometry-optimized Th2ZrSc8 structure, computed with PBE.

```
Th2ZrSc8
1.0
4.1064 -7.4962 0.0000
4.1064 7.4962 0.0000
-2.8595 0.0000 4.6649
Th Zr Sc
2 1 8
Direct
0.1952 0.8048 0.0000
0.8048 0.1952 0.0000
0.5000 0.5000 0.5000
0.0862 0.0862 0.2961
0.1772 0.3961 0.8243
0.2975 0.7025 0.5000
0.3961 0.1772 0.8243
0.6039 0.8228 0.1757
0.7025 0.2975 0.5000
0.8228 0.6039 0.1757
0.9138 0.9138 0.7039
```

Calculated values
space group = C2/m (12)



It is model i that is most stable; the runner-up trails by 0.017 eV/atom.



Model i:
A geometry-optimized Th2ZrSc6 structure, computed with PBE.

```
Th2ZrSc6
1.0
3.3423 0.0000 0.0000
-1.6712 2.8945 0.0000
0.0000 0.0000 24.3444
Th Zr Sc
2 1 6
Direct
0.0000 0.0000 0.1741
0.0000 0.0000 0.8259
0.6667 0.3333 0.5000
0.0000 0.0000 0.3973
0.0000 0.0000 0.6027
0.6667 0.3333 0.0612
0.6667 0.3333 0.2909
0.6667 0.3333 0.7091
0.6667 0.3333 0.9388
```

Calculated values
space group = P-6m2 (187)



Model ii:
A geometry-optimized Th2ZrSc6 structure, computed with PBE.

```
Th2ZrSc6
1.0
0.0000 4.9788 4.9788
4.9788 0.0000 4.9788
4.9788 4.9788 0.0000
Th Zr Sc
2 1 6
Direct
0.2500 0.2500 0.2500
0.7500 0.7500 0.7500
0.0000 0.0000 0.0000
0.2759 0.2759 0.7241
0.2759 0.7241 0.2759
0.2759 0.7241 0.7241
0.7241 0.2759 0.2759
0.7241 0.2759 0.7241
0.7241 0.7241 0.2759
```

Calculated values
space group = Fm-3m (225)



It is model i that is most stable; the runner-up trails by 0.244 eV/atom.